First-principles (PBE) data for a relaxed structure of ZnCd4Ga, as listed in Alexandria.

E_form   47 meV/atom
E above lowest polymorph   0.0000 eV/atom

Unit cell a=13.0984 b=3.0719 c=6.3521 alpha=90.00 beta=100.96 gamma=90.00
With the nearest neighbours (Å) after each atom.
Space group C2/m (No. 12)
Inequivalent atoms, fractional coordinates:
Zn 0.0000 0.0000 0.0000 (multiplicity 2)  8 Cd 2.94-3.07, 2 Zn 3.07, 2 Ga 3.18
Cd 0.1580 0.5000 0.8308 (multiplicity 4)  2 Zn 2.94, 2 Ga 3.07, 8 Cd 3.07-3.29
Cd 0.1615 0.5000 0.3258 (multiplicity 4)  2 Ga 2.99, 8 Cd 3.07-3.27, 2 Zn 3.07
Ga 0.0000 0.0000 0.5000 (multiplicity 2)  8 Cd 2.99-3.07, 2 Ga 3.07, 2 Zn 3.18

First-principles (PBE) data for a relaxed structure of LaGa2P2Pd7, as listed in Alexandria.

E_form   -601 meV/atom

Unit cell a=7.4336 b=5.9157 c=9.1488 alpha=90.00 beta=90.14 gamma=90.00
With the nearest neighbours (Å) after each atom.
Space group C2/m (No. 12)
Inequivalent atoms, fractional coordinates:
La 0.0000 0.0000 0.0000 (multiplicity 2)  10 Pd 2.96-3.14, 2 Ga 3.31
Ga 0.9997 0.0000 0.3615 (multiplicity 4)  1 Ga 2.53, 6 Pd 2.63-2.69
P 0.9996 0.5000 0.2742 (multiplicity 4)  7 Pd 2.42-2.51
Pd 0.0000 0.5000 0.0000 (multiplicity 2)  2 P 2.51
Pd 0.1898 0.5000 0.5002 (multiplicity 4)  2 P 2.50, 2 Ga 2.63
Pd 0.2495 0.2501 0.2233 (multiplicity 8)  2 P 2.42, 2 Ga 2.69

First-principles (PBE) data for a relaxed structure of NaLa2CdCo, as listed in Alexandria.

E_form   962 meV/atom
E above lowest polymorph   1.0579 eV/atom

Unit cell a=5.9311 b=5.9311 c=5.0694 alpha=90.00 beta=90.00 gamma=90.00
With the nearest neighbours (Å) after each atom.
Space group P4/mmm (No. 123)
Inequivalent atoms, fractional coordinates:
Na 0.0000 0.0000 0.0000 (multiplicity 1)  2 Cd 2.53
La 0.0000 0.5000 0.5000 (multiplicity 2)  2 Cd 2.97
Cd 0.0000 0.0000 0.5000 (multiplicity 1)  2 Na 2.53
Co 0.5000 0.5000 0.0000 (multiplicity 1)  8 La 3.90, 4 Na 4.19

Number 1: total magnetization 0.0 μB/cell. Number 2: total magnetization 0.0 μB/cell. Number 3: total magnetization 0.0 μB/cell.